Entry 1:
Pm3MgB2Pt9 PBE optimized geometry; energy relative to the elements = -825 meV per atom; raw total energy = -95.9 eV/cell
1.0
5.797 0.000 0.000
-2.899 5.020 0.000
0.000 0.000 9.419
Pm Mg B Pt
3 1 2 9
Direct
0.000 0.000 0.000 Pm
0.333 0.667 0.619 Pm
0.667 0.333 0.381 Pm
0.000 0.000 0.500 Mg
0.333 0.667 0.148 B
0.667 0.333 0.852 B
0.000 0.500 0.000 Pt
0.165 0.330 0.282 Pt
0.165 0.835 0.282 Pt
0.330 0.165 0.718 Pt
0.500 0.000 0.000 Pt
0.500 0.500 0.000 Pt
0.670 0.835 0.282 Pt
0.835 0.165 0.718 Pt
0.835 0.670 0.718 Pt



Entry 2:
MnAlCu2 PBE optimized geometry; energy relative to the elements = -10 meV per atom; raw total energy = -21.1 eV/cell
1.0
2.612 0.000 0.000
0.000 4.216 0.000
-0.591 0.000 4.727
Mn Al Cu
1 1 2
Direct
0.000 0.000 0.000 Mn
0.500 0.000 0.500 Al
0.277 0.500 0.751 Cu
0.723 0.500 0.249 Cu



Entry 3:
LaCdAg3 PBE optimized geometry; energy relative to the elements = 835 meV per atom; raw total energy = -10.2 eV/cell
1.0
5.795 0.000 0.000
0.000 5.795 0.000
0.000 0.000 5.795
La Cd Ag
1 1 3
Direct
0.000 0.000 0.000 La
0.500 0.500 0.500 Cd
0.000 0.000 0.500 Ag
0.000 0.500 0.000 Ag
0.500 0.000 0.000 Ag



Entry 4:
Ba2MnAs PBE optimized geometry; energy relative to the elements = -142 meV per atom; raw total energy = -18.2 eV/cell
1.0
4.174 0.000 0.000
0.000 4.174 0.000
0.000 0.000 7.838
Ba Mn As
2 1 1
Direct
0.000 0.000 0.219 Ba
0.000 0.000 0.781 Ba
0.500 0.500 0.500 Mn
0.500 0.500 0.000 As



Entry 5:
DyErAs2 PBE optimized geometry; energy relative to the elements = -1528 meV per atom; raw total energy = -24.6 eV/cell
1.0
2.051 1.184 6.691
-2.051 1.184 6.691
0.000 -2.368 6.691
Dy Er As
1 1 2
Direct
0.000 0.000 0.000 Dy
0.500 0.500 0.500 Er
0.249 0.249 0.249 As
0.751 0.751 0.751 As



Entry 6:
MgSbTe2P PBE optimized geometry; raw total energy = -15.6 eV/cell
1.0
5.400 0.000 0.000
0.000 5.400 0.000
0.000 0.000 5.016
Mg Sb Te P
1 1 2 1
Direct
0.000 0.000 0.000 Mg
0.500 0.500 0.000 Sb
0.000 0.500 0.500 Te
0.500 0.000 0.500 Te
0.500 0.500 0.500 P



Entry 7:
La3Pr2Y7 PBE optimized geometry; energy relative to the elements = 88 meV per atom; raw total energy = -68.5 eV/cell
1.0
3.655 0.000 0.000
0.000 5.836 0.000
1.796 1.102 19.441
La Pr Y
3 2 7
Direct
0.000 0.000 0.000 La
0.324 0.276 0.358 La
0.676 0.724 0.642 La
0.141 0.212 0.712 Pr
0.859 0.788 0.288 Pr
0.083 0.693 0.829 Y
0.228 0.242 0.541 Y
0.432 0.812 0.140 Y
0.500 0.500 0.000 Y
0.568 0.188 0.860 Y
0.772 0.758 0.459 Y
0.917 0.307 0.171 Y



Entry 8:
Tl4OsRh PBE optimized geometry; energy relative to the elements = 1420 meV per atom; raw total energy = -19.5 eV/cell
1.0
0.000 4.216 4.216
4.216 0.000 4.216
4.216 4.216 0.000
Tl Os Rh
4 1 1
Direct
0.125 0.125 0.125 Tl
0.125 0.125 0.625 Tl
0.125 0.625 0.125 Tl
0.625 0.125 0.125 Tl
0.750 0.750 0.750 Os
0.500 0.500 0.500 Rh



Entry 9:
Tb7NdY2 PBE optimized geometry; energy relative to the elements = 47 meV per atom; raw total energy = -49.6 eV/cell
1.0
-2.740 3.522 8.409
2.740 -3.522 8.409
2.740 3.522 -8.409
Tb Nd Y
7 1 2
Direct
0.000 0.000 0.000 Tb
0.139 0.391 0.748 Tb
0.301 0.801 0.500 Tb
0.358 0.609 0.748 Tb
0.642 0.391 0.252 Tb
0.699 0.199 0.500 Tb
0.861 0.609 0.252 Tb
0.500 0.000 0.500 Nd
0.200 0.200 0.000 Y
0.800 0.800 0.000 Y



Entry 10:
In2Fe PBE optimized geometry; energy relative to the elements = 256 meV per atom; raw total energy = -52.7 eV/cell
1.0
6.794 0.000 0.000
0.000 3.641 0.000
0.000 0.000 9.562
In Fe
8 4
Direct
0.007 0.250 0.186 In
0.173 0.750 0.458 In
0.327 0.250 0.958 In
0.493 0.750 0.686 In
0.507 0.250 0.314 In
0.673 0.750 0.042 In
0.827 0.250 0.542 In
0.993 0.750 0.814 In
0.204 0.250 0.680 Fe
0.296 0.750 0.180 Fe
0.704 0.250 0.820 Fe
0.796 0.750 0.320 Fe



Entry 11:
LiMnNi2H PBE optimized geometry; raw total energy = -26.3 eV/cell
1.0
3.664 0.000 0.000
0.000 3.664 0.000
0.000 0.000 3.650
Li Mn Ni H
1 1 2 1
Direct
0.000 0.000 0.000 Li
0.500 0.500 0.000 Mn
0.000 0.500 0.500 Ni
0.500 0.000 0.500 Ni
0.000 0.000 0.500 H



Entry 12:
PmDySiPd PBE optimized geometry; raw total energy = -22.7 eV/cell
1.0
0.000 3.570 3.570
3.570 0.000 3.570
3.570 3.570 0.000
Pm Dy Si Pd
1 1 1 1
Direct
0.000 0.000 0.000 Pm
0.500 0.500 0.500 Dy
0.250 0.250 0.250 Si
0.750 0.750 0.750 Pd